1.
Here is a relaxed Ti9In3H2 crystal from Alexandria via LeMat-Bulk. Energies are from PBE-GGA.

Output
Its space group is P6_3/mmc, No. 194. The total magnetization comes out at 0.000 μB/f.u. The calculation puts the density of states at the Fermi level at 11.1 states/eV/f.u. The total DFT energy (no corrections) comes out at -6.364 eV per atom.

a b c (Å): 5.9018 5.9018 14.4164
angles (deg): 90.00 90.00 120.00
With the nearest neighbours (Å) after each atom.
Fractional positions:
In  0.3333  0.6667  0.4153  12 Ti 2.93-2.96
Ti  0.6683  0.8341  0.5824  1 H 2.07
Ti  0.6683  0.8341  0.9176  1 H 2.07
Ti  0.8341  0.6683  0.4176  1 H 2.07
H  0.6667  0.3333  0.3375  6 Ti 2.07-2.12
Ti  0.0013  0.5006  0.2500  2 H 2.12
Ti  0.8341  0.1659  0.0824  1 H 2.07
H  0.6667  0.3333  0.1625  6 Ti 2.07-2.12
Ti  0.3317  0.1659  0.0824  1 H 2.07
In  0.6667  0.3333  0.5847  12 Ti 2.93-2.96
Ti  0.1659  0.8341  0.5824  1 H 2.07
Ti  0.4994  0.9987  0.2500  2 H 2.12
In  0.6667  0.3333  0.9153  12 Ti 2.93-2.96
Ti  0.8341  0.6683  0.0824  1 H 2.07
H  0.3333  0.6667  0.6625  6 Ti 2.07-2.12
Ti  0.8341  0.1659  0.4176  1 H 2.07
In  0.0000  0.0000  0.2500  12 Ti 2.95
Ti  0.9987  0.4994  0.7500  2 H 2.12
Ti  0.3317  0.1659  0.4176  1 H 2.07
Ti  0.5006  0.0013  0.7500  2 H 2.12
Ti  0.4994  0.5006  0.2500  2 H 2.12
Ti  0.5006  0.4994  0.7500  2 H 2.12
H  0.3333  0.6667  0.8375  6 Ti 2.07-2.12
Ti  0.1659  0.3317  0.5824  1 H 2.07
In  0.3333  0.6667  0.0847  12 Ti 2.93-2.96
Ti  0.1659  0.3317  0.9176  1 H 2.07
Ti  0.1659  0.8341  0.9176  1 H 2.07
In  0.0000  0.0000  0.7500  12 Ti 2.95


2.
Here is a relaxed ZrTa2Al crystal from Alexandria via LeMat-Bulk. Energies are from PBE-GGA.

Output
Its space group is Pm, No. 6. The total magnetization comes out at 0.000 μB/f.u. The calculation puts the density of states at the Fermi level at 3.6 states/eV/f.u. For the formation energy, the calculation gives -32.4 meV per atom. The total DFT energy (no corrections) comes out at -9.031 eV per atom.

a b c (Å): 4.5617 2.9143 5.8464
angles (deg): 76.54 90.00 90.00
With the nearest neighbours (Å) after each atom.
Fractional positions:
Zr  0.0000  0.4963  0.4900  2 Zr 2.91, 6 Ta 2.92-3.19, 2 Al 3.00
Ta  0.5000  0.2078  0.2419  4 Ta 2.79-2.91, 2 Al 2.87-3.04, 2 Zr 2.93
Ta  0.0000  0.0303  0.0014  4 Ta 2.79-2.91, 2 Al 2.86, 2 Zr 2.92-2.98
Al  0.5000  0.7656  0.7667  4 Ta 2.86-3.04, 2 Al 2.91, 2 Zr 3.00


3.
Here is a relaxed LiAl2Ni crystal from Alexandria via LeMat-Bulk. Energies are from PBE-GGA.

Output
Its space group is P4/mmm, No. 123. The total magnetization comes out at 0.000 μB/f.u. The calculation puts the density of states at the Fermi level at 0.6 states/eV/f.u. For the formation energy, the calculation gives -392.2 meV per atom. The total DFT energy (no corrections) comes out at -4.187 eV per atom.

a b c (Å): 2.9849 2.9833 5.9472
angles (deg): 90.00 90.00 90.00
With the nearest neighbours (Å) after each atom.
Fractional positions:
Li  0.5000  0.5000  0.2500  8 Al 2.65
Ni  0.5000  0.5000  0.7500  8 Al 2.52
Al  0.0000  0.0000  0.5185  4 Ni 2.52, 4 Li 2.65, 1 Al 2.75
Al  0.0000  0.0000  0.9815  4 Ni 2.52, 4 Li 2.65, 1 Al 2.75


4.
Here is a relaxed Tl3AsP crystal from Alexandria via LeMat-Bulk. Energies are from PBE-GGA.

Output
Its space group is Pm-3m, No. 221. The total magnetization comes out at 0.000 μB/f.u. The calculation puts the density of states at the Fermi level at 2.3 states/eV/f.u. For the formation energy, the calculation gives 469.0 meV per atom. The total DFT energy (no corrections) comes out at -2.963 eV per atom. The calculation puts the distance to the lowest polymorph of the same formula at 0.00 eV per formula unit.

a b c (Å): 5.2979 5.2979 5.2979
angles (deg): 90.00 90.00 90.00
With the nearest neighbours (Å) after each atom.
Fractional positions:
Tl  0.0000  0.5000  0.0000  2 P 2.65
Tl  0.0000  0.0000  0.5000  2 P 2.65
Tl  0.5000  0.0000  0.0000  2 P 2.65
As  0.5000  0.5000  0.5000  12 Tl 3.75
P  0.0000  0.0000  0.0000  6 Tl 2.65


5.
Here is a relaxed CsCaAl2 crystal from Alexandria via LeMat-Bulk. Energies are from PBE-GGA.

Output
Its space group is I-42d, No. 122. The total magnetization comes out at 0.000 μB/f.u. The calculation puts the density of states at the Fermi level at 4.3 states/eV/f.u. For the formation energy, the calculation gives 633.4 meV per atom. The total DFT energy (no corrections) comes out at -1.952 eV per atom. The calculation puts the distance to the lowest polymorph of the same formula at 0.80 eV per formula unit.

a b c (Å): 9.3895 9.3895 7.4322
angles (deg): 50.83 50.83 90.00
With the nearest neighbours (Å) after each atom.
Fractional positions:
Ca  0.2500  0.7500  0.5000  4 Al 3.18, 2 Cs 3.34
Ca  0.5000  0.5000  0.0000  4 Al 3.18, 2 Cs 3.34
Al  0.1652  0.6250  0.2500  2 Ca 3.18, 2 Al 3.42
Al  0.8750  0.8348  0.7500  2 Ca 3.18, 2 Al 3.42
Al  0.5848  0.1250  0.2500  2 Ca 3.18, 2 Al 3.42
Cs  0.0000  0.0000  0.0000  2 Ca 3.34, 4 Al 3.69
Al  0.3750  0.4152  0.7500  2 Ca 3.18, 2 Al 3.42
Cs  0.7500  0.2500  0.5000  2 Ca 3.34, 4 Al 3.69


6.
Here is a relaxed HfNbCd3 crystal from Alexandria via LeMat-Bulk. Energies are from PBE-GGA.

Output
Its space group is Pm-3m, No. 221. The total magnetization comes out at 0.000 μB/f.u. The calculation puts the density of states at the Fermi level at 7.8 states/eV/f.u. For the formation energy, the calculation gives 1370.9 meV per atom. The total DFT energy (no corrections) comes out at -3.183 eV per atom.

a b c (Å): 5.1823 5.1823 5.1823
angles (deg): 90.00 90.00 90.00
With the nearest neighbours (Å) after each atom.
Fractional positions:
Cd  0.5000  0.0000  0.0000  2 Nb 2.59
Hf  0.5000  0.5000  0.5000  12 Cd 3.66
Cd  0.0000  0.5000  0.0000  2 Nb 2.59
Nb  0.0000  0.0000  0.0000  6 Cd 2.59
Cd  0.0000  0.0000  0.5000  2 Nb 2.59


7.
Here is a relaxed KSi5 crystal from Alexandria via LeMat-Bulk. Energies are from PBE-GGA.

Output
Its space group is F-43m, No. 216. The total magnetization comes out at 0.000 μB/f.u. The calculation puts the density of states at the Fermi level at 3.0 states/eV/f.u. The calculation puts the formation energy from raw total energies at 0.568 eV/atom. The total DFT energy (no corrections) comes out at -4.134 eV per atom. The calculation puts the distance to the lowest polymorph of the same formula at 1.83 eV per formula unit.

a b c (Å): 5.3422 5.3422 5.3422
angles (deg): 60.00 60.00 60.00
With the nearest neighbours (Å) after each atom.
Fractional positions:
Si  0.6249  0.6249  0.1253  6 Si 2.67
Si  0.6249  0.6249  0.6249  6 Si 2.67
Si  0.2500  0.2500  0.2500  12 Si 3.13, 4 K 3.27
Si  0.6249  0.1253  0.6249  6 Si 2.67
K  0.0000  0.0000  0.0000  16 Si 3.13-3.27
Si  0.1253  0.6249  0.6249  6 Si 2.67


8.
Here is a relaxed PmNd2Os crystal from Alexandria via LeMat-Bulk. Energies are from PBE-GGA.

Output
Its space group is P4/mmm, No. 123. The total magnetization comes out at 0.000 μB/f.u. The calculation puts the density of states at the Fermi level at 3.1 states/eV/f.u. For the formation energy, the calculation gives 63.1 meV per atom. The total DFT energy (no corrections) comes out at -6.316 eV per atom. The calculation puts the distance to the lowest polymorph of the same formula at 0.70 eV per formula unit.

a b c (Å): 3.5007 3.5007 9.6863
angles (deg): 90.00 90.00 90.00
With the nearest neighbours (Å) after each atom.
Fractional positions:
Nd  0.0000  0.0000  0.1783  4 Os 3.02
Os  0.5000  0.5000  0.0000  8 Nd 3.02
Nd  0.0000  0.0000  0.8217  4 Os 3.02
Pm  0.5000  0.5000  0.5000  4 Pm 3.50


What did the fifth record say?
Here is a relaxed CsCaAl2 crystal from Alexandria via LeMat-Bulk. Energies are from PBE-GGA.

Output
Its space group is I-42d, No. 122. The total magnetization comes out at 0.000 μB/f.u. The calculation puts the density of states at the Fermi level at 4.3 states/eV/f.u. For the formation energy, the calculation gives 633.4 meV per atom. The total DFT energy (no corrections) comes out at -1.952 eV per atom. The calculation puts the distance to the lowest polymorph of the same formula at 0.80 eV per formula unit.

a b c (Å): 9.3895 9.3895 7.4322
angles (deg): 50.83 50.83 90.00
With the nearest neighbours (Å) after each atom.
Fractional positions:
Ca  0.2500  0.7500  0.5000  4 Al 3.18, 2 Cs 3.34
Ca  0.5000  0.5000  0.0000  4 Al 3.18, 2 Cs 3.34
Al  0.1652  0.6250  0.2500  2 Ca 3.18, 2 Al 3.42
Al  0.8750  0.8348  0.7500  2 Ca 3.18, 2 Al 3.42
Al  0.5848  0.1250  0.2500  2 Ca 3.18, 2 Al 3.42
Cs  0.0000  0.0000  0.0000  2 Ca 3.34, 4 Al 3.69
Al  0.3750  0.4152  0.7500  2 Ca 3.18, 2 Al 3.42
Cs  0.7500  0.2500  0.5000  2 Ca 3.34, 4 Al 3.69


Q: Look up the total magnetization of the fifth one.
A: 0.000 μB/f.u.


Q: What is the total DFT energy (no corrections) in the second record?
A: -9.031 eV per atom